Entry 1:
The following is a DFT calculation (PBE) of KMn2CdTe after structural relaxation. Values from VASP.

Calculated values
E_form (uncorrected): 1593 meV/atom
DOS(E_F): 5.090 states/eV/f.u.
Calculated total energy: -3.106 eV/atom

Structure (Quantum ESPRESSO input):
```
&SYSTEM
  ibrav = 0, nat = 5, ntyp = 4
/
ATOMIC_SPECIES
Te 127.60 Te.upf
Cd 112.41 Cd.upf
Mn 54.94 Mn.upf
K 39.10 K.upf
CELL_PARAMETERS angstrom
-1.669 -0.349 5.159
-2.289 -5.393 -1.106
4.731 -2.290 1.376
ATOMIC_POSITIONS crystal
Te 0.500 0.500 0.500
Cd 0.000 0.500 0.000
Mn 0.000 0.000 0.500
Mn 0.500 0.000 0.000
K 0.000 0.000 0.000
```

---

Entry 2:
The following is a DFT calculation (PBE) of KZr2MnCd after structural relaxation. Values from VASP.

Calculated values
Energy of formation from the pure elements: 0.795 eV per atom
DOS(E_F): 4.907 states/eV/f.u.
Calculated total energy: -4.861 eV/atom

Structure (Quantum ESPRESSO input):
```
&SYSTEM
  ibrav = 0, nat = 5, ntyp = 4
/
ATOMIC_SPECIES
Mn 54.94 Mn.upf
Cd 112.41 Cd.upf
Zr 91.22 Zr.upf
K 39.10 K.upf
CELL_PARAMETERS angstrom
4.755 0.000 0.000
0.000 6.205 0.000
0.000 0.000 4.755
ATOMIC_POSITIONS crystal
Mn 0.000 0.000 0.000
Cd 0.500 0.500 0.500
Zr 0.000 0.000 0.500
Zr 0.500 0.000 0.000
K 0.000 0.500 0.000
```

---

Entry 3:
The following is a DFT calculation (PBE) of KCd2Mo after structural relaxation. Values from VASP.

Calculated values
Energy of formation from the pure elements: 0.699 eV per atom
DOS(E_F): 2.655 states/eV/f.u.
Calculated total energy: -2.741 eV/atom

Structure (Quantum ESPRESSO input):
```
&SYSTEM
  ibrav = 0, nat = 4, ntyp = 3
/
ATOMIC_SPECIES
Mo 95.94 Mo.upf
K 39.10 K.upf
Cd 112.41 Cd.upf
CELL_PARAMETERS angstrom
5.933 0.024 0.094
5.251 2.761 0.094
1.061 0.264 5.633
ATOMIC_POSITIONS crystal
Mo 0.266 0.266 0.158
K 0.496 0.496 0.563
Cd 0.739 0.739 0.705
Cd 0.999 0.999 0.075
```

---

Entry 4:
The following is a DFT calculation (PBE) of KCd2Mo after structural relaxation. Values from VASP.

Calculated values
Energy of formation from the pure elements: 0.945 eV per atom
DOS(E_F): 1.939 states/eV/f.u.
Calculated total energy: -2.495 eV/atom

Structure (Quantum ESPRESSO input):
```
&SYSTEM
  ibrav = 0, nat = 4, ntyp = 3
/
ATOMIC_SPECIES
Cd 112.41 Cd.upf
Mo 95.94 Mo.upf
K 39.10 K.upf
CELL_PARAMETERS angstrom
5.639 -0.063 0.000
1.895 5.311 0.000
-3.767 -2.624 3.275
ATOMIC_POSITIONS crystal
Cd 0.000 0.000 0.000
Cd 0.250 0.750 0.500
Mo 0.750 0.250 0.500
K 0.500 0.500 0.000
```